Entry 1:
The following is a DFT calculation (GGA-PBE) of crystalline NbCoHg at its relaxed geometry.

Unit cell a=4.392 b=4.392 c=4.392 alpha=60.00 beta=60.00 gamma=60.00
Site moments in Bohr magnetons follow the coordinates.
Element x y z (fractional)
Nb: 0.000 0.000 0.000  0.20
Co: 0.250 0.250 0.250  -0.97
Hg: 0.750 0.750 0.750  0.00

The magnetization is 0.76 μB per formula unit. The value obtained for the offset from the most stable computed form is 472 meV/atom. The raw total energy comes out at -0.18200 hartree per atom. The value obtained for the formation enthalpy at 0 K is 255 kJ/mol of formula units.

=====

Entry 2:
The following is a DFT calculation (GGA-PBE) of crystalline LuTa2Fe at its relaxed geometry.

Unit cell a=4.664 b=4.664 c=4.664 alpha=60.00 beta=60.00 gamma=60.00
Element x y z (fractional)
Fe: 0.250 0.250 0.250
Ta: 0.000 0.000 0.000
Ta: 0.750 0.750 0.750
Lu: 0.500 0.500 0.500

The magnetization is 2.32 μB per formula unit. The raw total energy comes out at -0.32410 hartree per atom. The value obtained for the formation enthalpy at 0 K is 122 kJ/mol of formula units.

=====

Entry 3:
The following is a DFT calculation (GGA-PBE) of crystalline LuSbPd2 at its relaxed geometry.

Unit cell a=4.921 b=4.921 c=7.958 alpha=90.00 beta=90.00 gamma=120.00
Element x y z (fractional)
Pd: 0.333 0.667 0.420
Sb: 0.333 0.667 0.750
Pd: 0.333 0.667 0.080
Sb: 0.667 0.333 0.250
Lu: 0.000 0.000 0.250
Pd: 0.667 0.333 0.580
Pd: 0.667 0.333 0.920
Lu: 0.000 0.000 0.750

The magnetization is 0.00 μB per formula unit. The value obtained for the offset from the most stable computed form is 392 meV/atom. The raw total energy comes out at -0.19237 hartree per atom.

=====

Entry 4:
The following is a DFT calculation (GGA-PBE) of crystalline TmBeB4 at its relaxed geometry.

Unit cell a=4.754 b=4.754 c=4.754 alpha=141.33 beta=114.01 gamma=79.18
Element x y z (fractional)
B: 0.915 0.241 0.674
B: 0.434 0.759 0.674
B: 0.566 0.241 0.326
Be: 0.000 0.000 0.000
B: 0.085 0.759 0.326
Tm: 0.500 0.500 0.000

The magnetization is 0.00 μB per formula unit. The value obtained for the offset from the most stable computed form is 67 meV/atom. The raw total energy comes out at -0.21813 hartree per atom.

=====

Entry 5:
The following is a DFT calculation (GGA-PBE) of crystalline AgBiPF at its relaxed geometry.

Unit cell a=8.250 b=16.912 c=4.687 alpha=90.00 beta=90.00 gamma=90.00
Element x y z (fractional)
F: 0.239 0.524 0.000
P: 0.502 0.125 0.500
Bi: 0.753 0.486 0.500
Bi: 0.253 0.014 0.500
Ag: 0.436 0.871 0.000
Ag: 0.944 0.121 0.000
P: 0.995 0.875 0.500
F: 0.261 0.024 0.000
Bi: 0.747 0.986 0.500
Ag: 0.444 0.379 0.000
F: 0.761 0.476 0.000
F: 0.755 0.275 0.000
Bi: 0.256 0.235 0.500
Ag: 0.564 0.129 0.000
P: 0.002 0.375 0.500
Ag: 0.064 0.371 0.000
Bi: 0.247 0.514 0.500
P: 0.495 0.625 0.500
Bi: 0.744 0.765 0.500
P: 0.998 0.625 0.500
Bi: 0.756 0.265 0.500
Ag: 0.936 0.629 0.000
F: 0.739 0.976 0.000
P: 0.505 0.375 0.500
P: 0.005 0.125 0.500
F: 0.745 0.775 0.000
F: 0.245 0.725 0.000
P: 0.498 0.875 0.500
Ag: 0.056 0.879 0.000
Ag: 0.556 0.621 0.000
F: 0.255 0.225 0.000
Bi: 0.244 0.735 0.500

The value obtained for the offset from the most stable computed form is 48 meV/atom. The raw total energy comes out at -0.15291 hartree per atom.

=====

Entry 6:
The following is a DFT calculation (GGA-PBE) of crystalline AgMoPtAu at its relaxed geometry.

Unit cell a=4.562 b=4.562 c=4.562 alpha=60.00 beta=60.00 gamma=60.00
Element x y z (fractional)
Au: 0.750 0.750 0.750
Pt: 0.250 0.250 0.250
Mo: 0.000 0.000 0.000
Ag: 0.500 0.500 0.500

The magnetization is 0.02 μB per formula unit. The value obtained for the offset from the most stable computed form is 0 meV/atom. The raw total energy comes out at -0.20184 hartree per atom. The value obtained for the formation enthalpy at 0 K is 99 kJ/mol of formula units.